Material: ThTcCl
Method: DFT, PBE
State: relaxed

a = 4.1618 Å, b = 4.1618 Å, c = 11.5164 Å
α = 100.67°, β = 100.67°, γ = 59.97°
Closest atoms and distances in Å follow each position.
Fractional coordinates of all 6 atoms:
Th (0.0626, 0.0626, 0.1837)  3 Tc 2.97, 3 Cl 3.01
Th (0.9374, 0.9374, 0.8163)  3 Tc 2.97, 3 Cl 3.01
Tc (0.3432, 0.3432, 0.0287)  3 Tc 2.49
Tc (0.6568, 0.6568, 0.9713)  3 Tc 2.49
Cl (0.2154, 0.2154, 0.6550)  3 Th 3.01
Cl (0.7846, 0.7846, 0.3450)  3 Th 3.01

Output
ΔE_f (raw): -0.995 eV/atom
electronic total energy: -7.5393 eV/atom
theoretical density: 7.195 g cm⁻³
spin magnetization: 0.000 μB per atom
energy above the lowest structure with this stoichiometry: 0.000 eV/atom